Density functional theory data (meta-GGA SCAN) for a PBEsol-optimized structure of GaBiSeBr2.

Geometry as POSCAR:
```
GaBiSeBr2
1.0
-4.681 -1.734 0.328
1.137 -2.253 4.319
-1.378 4.203 2.556
Ga Se Bi Br
1 1 1 2
Direct
0.000 0.000 0.000 Ga
0.000 0.000 0.500 Se
0.500 0.500 0.500 Bi
0.000 0.500 0.000 Br
0.500 0.000 0.000 Br
```

Crystal system: tetragonal
SG: P4/mmm (123)
E above lowest polymorph in eV/f.u.: 0.56
N(E_F) in states/eV/atom: 0.44
Uncorrected formation energy in eV/atom: -0.059